[1]
ZrZn2Pb | PBE | optimized geometry

Computed properties:
Formation energy from the elements: -0.0503 eV/atom
E: -3.751 eV per atom
Crystal system: monoclinic

```
data_ZrZn2Pb
_chemical_formula_sum 'Zr2 Zn4 Pb2'
_cell_length_a 10.7253
_cell_length_b 3.7840
_cell_length_c 4.3253
_cell_angle_alpha 90.00
_cell_angle_beta 113.71
_cell_angle_gamma 90.00
_space_group_name_H-M_alt 'C 1 m 1'
_space_group_IT_number 8
_space_group_name_Hall 'C -2y'
loop_
_atom_site_label
_atom_site_type_symbol
_atom_site_fract_x
_atom_site_fract_y
_atom_site_fract_z
Zr1 Zr 0.0000 0.0000 0.0000
Zn1 Zn 0.2573 0.5000 0.2569
Zn2 Zn 0.4730 0.0000 0.4729
Pb1 Pb 0.2355 0.0000 0.7357
```



[2]
Zr2ZnPb | PBE | optimized geometry

Computed properties:
Formation energy from the elements: -0.0636 eV/atom
E: -5.583 eV per atom
Crystal system: trigonal

```
data_Zr2ZnPb
_chemical_formula_sum 'Zr6 Zn3 Pb3'
_cell_length_a 3.3343
_cell_length_b 3.3343
_cell_length_c 27.8458
_cell_angle_alpha 90.00
_cell_angle_beta 90.00
_cell_angle_gamma 120.00
_space_group_name_H-M_alt 'R -3 m'
_space_group_IT_number 166
_space_group_name_Hall '-R 3 2"'
loop_
_atom_site_label
_atom_site_type_symbol
_atom_site_fract_x
_atom_site_fract_y
_atom_site_fract_z
Zr1 Zr 0.0000 0.0000 0.2423
Zn1 Zn 0.0000 0.0000 0.5000
Pb1 Pb 0.0000 0.0000 0.0000
```



[3]
ZrZnPb2 | PBE | optimized geometry

Computed properties:
Formation energy from the elements: 0.1205 eV/atom
E: -4.189 eV per atom
Crystal system: monoclinic

```
data_ZrZnPb2
_chemical_formula_sum 'Zr1 Zn1 Pb2'
_cell_length_a 3.1840
_cell_length_b 5.2047
_cell_length_c 5.8673
_cell_angle_alpha 90.00
_cell_angle_beta 91.61
_cell_angle_gamma 90.00
_space_group_name_H-M_alt 'P 1 2/m 1'
_space_group_IT_number 10
_space_group_name_Hall '-P 2y'
loop_
_atom_site_label
_atom_site_type_symbol
_atom_site_fract_x
_atom_site_fract_y
_atom_site_fract_z
Zr1 Zr 0.0000 0.0000 0.0000
Zn1 Zn 0.5000 0.0000 0.5000
Pb1 Pb 0.3318 0.5000 0.7518
```



[4]
Zr2ZnPb | PBE | optimized geometry

Computed properties:
Formation energy from the elements: -0.0782 eV/atom
E: -5.598 eV per atom
Crystal system: monoclinic

```
data_Zr2ZnPb
_chemical_formula_sum 'Zr2 Zn1 Pb1'
_cell_length_a 3.2206
_cell_length_b 5.0847
_cell_length_c 5.3087
_cell_angle_alpha 90.00
_cell_angle_beta 93.76
_cell_angle_gamma 90.00
_space_group_name_H-M_alt 'P 1 m 1'
_space_group_IT_number 6
_space_group_name_Hall 'P -2y'
loop_
_atom_site_label
_atom_site_type_symbol
_atom_site_fract_x
_atom_site_fract_y
_atom_site_fract_z
Zr1 Zr 0.0000 0.0000 0.0000
Zr2 Zr 0.1381 0.5000 0.6451
Zn1 Zn 0.5399 0.0000 0.5316
Pb1 Pb 0.5773 0.5000 0.1540
```



[5]
Zr2Zn2Pb | PBE | optimized geometry

Computed properties:
Formation energy from the elements: 0.1312 eV/atom
E: -4.539 eV per atom
Crystal system: tetragonal

```
data_Zr2Zn2Pb
_chemical_formula_sum 'Zr4 Zn4 Pb2'
_cell_length_a 4.4088
_cell_length_b 4.4088
_cell_length_c 11.6347
_cell_angle_alpha 90.00
_cell_angle_beta 90.00
_cell_angle_gamma 90.00
_space_group_name_H-M_alt 'I 4/m m m'
_space_group_IT_number 139
_space_group_name_Hall '-I 4 2'
loop_
_atom_site_label
_atom_site_type_symbol
_atom_site_fract_x
_atom_site_fract_y
_atom_site_fract_z
Zr1 Zr 0.0000 0.5000 0.2500
Zn1 Zn 0.0000 0.0000 0.1022
Pb1 Pb 0.0000 0.0000 0.5000
```



[6]
ZrZnPb2 | PBE | optimized geometry

Computed properties:
Formation energy from the elements: 0.0211 eV/atom
E: -4.289 eV per atom
Crystal system: tetragonal

```
data_ZrZnPb2
_chemical_formula_sum 'Zr2 Zn2 Pb4'
_cell_length_a 4.3128
_cell_length_b 4.3128
_cell_length_c 10.0183
_cell_angle_alpha 90.00
_cell_angle_beta 90.00
_cell_angle_gamma 90.00
_space_group_name_H-M_alt 'I -4 m 2'
_space_group_IT_number 119
_space_group_name_Hall 'I -4 -2'
loop_
_atom_site_label
_atom_site_type_symbol
_atom_site_fract_x
_atom_site_fract_y
_atom_site_fract_z
Zr1 Zr 0.0000 0.0000 0.0000
Zn1 Zn 0.0000 0.5000 0.2500
Pb1 Pb 0.0000 0.0000 0.5000
Pb2 Pb 0.0000 0.5000 0.7500
```



[7]
ZrZnPb2 | PBE | optimized geometry

Computed properties:
Formation energy from the elements: 0.2488 eV/atom
E: -4.061 eV per atom
Crystal system: tetragonal

```
data_ZrZnPb2
_chemical_formula_sum 'Zr4 Zn4 Pb8'
_cell_length_a 7.9472
_cell_length_b 7.9472
_cell_length_c 6.2735
_cell_angle_alpha 90.00
_cell_angle_beta 90.00
_cell_angle_gamma 90.00
_space_group_name_H-M_alt 'I -4 2 d'
_space_group_IT_number 122
_space_group_name_Hall 'I -4 2bw'
loop_
_atom_site_label
_atom_site_type_symbol
_atom_site_fract_x
_atom_site_fract_y
_atom_site_fract_z
Zr1 Zr 0.0000 0.0000 0.0000
Zn1 Zn 0.0000 0.0000 0.5000
Pb1 Pb 0.2193 0.2500 0.6250
```



[8]
ZrZn2Pb | PBE | optimized geometry

Computed properties:
Formation energy from the elements: 0.0848 eV/atom
E: -3.616 eV per atom
Crystal system: trigonal

```
data_ZrZn2Pb
_chemical_formula_sum 'Zr3 Zn6 Pb3'
_cell_length_a 3.2224
_cell_length_b 3.2224
_cell_length_c 29.5551
_cell_angle_alpha 90.00
_cell_angle_beta 90.00
_cell_angle_gamma 120.00
_space_group_name_H-M_alt 'R -3 m'
_space_group_IT_number 166
_space_group_name_Hall '-R 3 2"'
loop_
_atom_site_label
_atom_site_type_symbol
_atom_site_fract_x
_atom_site_fract_y
_atom_site_fract_z
Zr1 Zr 0.0000 0.0000 0.0000
Zn1 Zn 0.0000 0.0000 0.2568
Pb1 Pb 0.0000 0.0000 0.5000
```



[9]
ZrZnPb2 | PBE | optimized geometry

Computed properties:
Formation energy from the elements: -0.0133 eV/atom
E: -4.323 eV per atom
Crystal system: monoclinic

```
data_ZrZnPb2
_chemical_formula_sum 'Zr2 Zn2 Pb4'
_cell_length_a 11.5477
_cell_length_b 3.2788
_cell_length_c 5.4098
_cell_angle_alpha 90.00
_cell_angle_beta 110.93
_cell_angle_gamma 90.00
_space_group_name_H-M_alt 'C 1 m 1'
_space_group_IT_number 8
_space_group_name_Hall 'C -2y'
loop_
_atom_site_label
_atom_site_type_symbol
_atom_site_fract_x
_atom_site_fract_y
_atom_site_fract_z
Zr1 Zr 0.0000 0.0000 0.0000
Zn1 Zn 0.2928 0.0000 0.6639
Pb1 Pb 0.0380 0.5000 0.5229
Pb2 Pb 0.2577 0.5000 0.1364
```



[10]
Zr2ZnPb | PBE | optimized geometry

Computed properties:
Formation energy from the elements: -0.1813 eV/atom
E: -5.701 eV per atom
Crystal system: orthorhombic

```
data_Zr2ZnPb
_chemical_formula_sum 'Zr2 Zn1 Pb1'
_cell_length_a 3.2160
_cell_length_b 4.1780
_cell_length_c 6.3277
_cell_angle_alpha 90.00
_cell_angle_beta 90.00
_cell_angle_gamma 90.00
_space_group_name_H-M_alt 'P m m m'
_space_group_IT_number 47
_space_group_name_Hall '-P 2 2'
loop_
_atom_site_label
_atom_site_type_symbol
_atom_site_fract_x
_atom_site_fract_y
_atom_site_fract_z
Zr1 Zr 0.0000 0.0000 0.2348
Zn1 Zn 0.5000 0.5000 0.0000
Pb1 Pb 0.5000 0.5000 0.5000
```



[11]
Zr5ZnPb3 | PBE | optimized geometry

Computed properties:
Formation energy from the elements: -0.3303 eV/atom
E: -6.457 eV per atom
Crystal system: hexagonal

```
data_Zr5ZnPb3
_chemical_formula_sum 'Zr10 Zn2 Pb6'
_cell_length_a 8.8205
_cell_length_b 8.8205
_cell_length_c 5.9601
_cell_angle_alpha 90.00
_cell_angle_beta 90.00
_cell_angle_gamma 120.00
_space_group_name_H-M_alt 'P 63/m c m'
_space_group_IT_number 193
_space_group_name_Hall '-P 6c 2'
loop_
_atom_site_label
_atom_site_type_symbol
_atom_site_fract_x
_atom_site_fract_y
_atom_site_fract_z
Zr1 Zr 0.0000 0.2651 0.2500
Zr2 Zr 0.3333 0.6667 0.0000
Zn1 Zn 0.0000 0.0000 0.0000
Pb1 Pb 0.0000 0.3849 0.7500
```



[12]
Zr2ZnPb2 | PBE | optimized geometry

Computed properties:
Formation energy from the elements: 0.0972 eV/atom
Energy above the lowest structure with this stoichiometry: 0 meV/atom
E: -5.060 eV per atom
Crystal system: tetragonal

```
data_Zr2ZnPb2
_chemical_formula_sum 'Zr4 Zn2 Pb4'
_cell_length_a 7.5853
_cell_length_b 7.5853
_cell_length_c 4.1270
_cell_angle_alpha 90.00
_cell_angle_beta 90.00
_cell_angle_gamma 90.00
_space_group_name_H-M_alt 'P 4/m b m'
_space_group_IT_number 127
_space_group_name_Hall '-P 4 2ab'
loop_
_atom_site_label
_atom_site_type_symbol
_atom_site_fract_x
_atom_site_fract_y
_atom_site_fract_z
Zr1 Zr 0.1536 0.3464 0.0000
Zn1 Zn 0.0000 0.0000 0.5000
Pb1 Pb 0.1503 0.6503 0.5000
```



Q: formation energy from the elements of number 10 (Zr2ZnPb)?
A: -0.1813 eV/atom